# Hf5Ni2

A relaxed Hf5Ni2 crystal (PBE, the Alexandria database).

Output
raw total energy	-125.799	eV for the cell shown
SG	C2/c
density of states at the Fermi level	14.8	states/eV/cell
total magnetization	0.000	μB/atom
mass density	12.34	g/cm³

Geometry as extended XYZ:
```
14
Lattice="7.567 -2.879 0.000 7.567 2.879 0.000 -0.658 0.000 6.240" Properties=species:S:1:pos:R:3 pbc="T T T"
Hf 7.074 2.378 4.680
Hf 3.141 0.492 1.872
Hf 2.812 -0.492 4.992
Hf 6.092 0.547 0.453
Hf 8.714 0.547 2.667
Hf 5.763 -0.547 3.573
Hf 8.385 -0.547 5.787
Hf 11.665 0.492 1.248
Hf 11.336 -0.492 4.368
Hf 7.403 -2.378 1.560
Ni 5.637 1.858 2.650
Ni 9.169 1.858 0.470
Ni 5.308 -1.858 5.770
Ni 8.839 -1.858 3.589
```


# Hf4Ni

A relaxed Hf4Ni crystal (PBE, the Alexandria database).

Output
raw total energy	-46.224	eV for the cell shown
SG	I4/m
density of states at the Fermi level	6.5	states/eV/cell
total magnetization	0.000	μB/atom
mass density	13.00	g/cm³
energy above the lowest structure with this stoichiometry	0	meV per atom

Geometry as extended XYZ:
```
5
Lattice="-3.911 3.911 1.614 3.911 -3.911 1.614 3.911 3.911 -1.614" Properties=species:S:1:pos:R:3 pbc="T T T"
Hf 2.163 0.643 0.000
Hf 3.268 -1.748 1.614
Hf 0.643 5.659 0.000
Hf 1.748 3.268 1.614
Ni 0.000 0.000 1.614
```


# HfNi

A relaxed HfNi crystal (PBE, the Alexandria database).

Output
raw total energy	-56.380	eV for the cell shown
SG	I-43m
density of states at the Fermi level	2.0	states/eV/cell
total magnetization	0.000	μB/atom
mass density	6.46	g/cm³

Geometry as extended XYZ:
```
8
Lattice="-3.935 3.935 3.935 3.935 -3.935 3.935 3.935 3.935 -3.935" Properties=species:S:1:pos:R:3 pbc="T T T"
Hf 1.128 1.128 -1.128
Hf 1.128 -1.128 1.128
Hf -1.128 1.128 1.128
Hf 2.807 2.807 2.807
Ni 2.611 2.611 -2.611
Ni 2.611 -2.611 2.611
Ni 1.324 1.324 1.324
Ni -2.611 2.611 2.611
```


# Hf4Ni

A relaxed Hf4Ni crystal (PBE, the Alexandria database).

Output
raw total energy	-91.397	eV for the cell shown
SG	Fdd2
density of states at the Fermi level	11.3	states/eV/cell
total magnetization	0.000	μB/atom
mass density	12.71	g/cm³
energy above the lowest structure with this stoichiometry	105	meV per atom

Geometry as extended XYZ:
```
10
Lattice="0.000 6.386 2.961 5.338 0.000 2.961 5.338 6.386 0.000" Properties=species:S:1:pos:R:3 pbc="T T T"
Hf 7.059 7.178 1.361
Hf 4.390 2.401 2.842
Hf 6.140 4.924 2.961
Hf 3.616 5.594 1.361
Hf 4.536 7.849 2.961
Hf 6.285 10.372 2.842
Hf 7.205 8.117 4.442
Hf 8.809 11.042 4.442
Ni 2.669 3.193 0.743
Ni 5.338 6.386 5.185
```


# HfNi

A relaxed HfNi crystal (PBE, the Alexandria database).

Output
raw total energy	-62.571	eV for the cell shown
SG	I4/m
density of states at the Fermi level	9.8	states/eV/cell
total magnetization	0.000	μB/atom
mass density	10.83	g/cm³

Geometry as extended XYZ:
```
8
Lattice="-4.646 4.646 1.685 4.646 -4.646 1.685 4.646 4.646 -1.685" Properties=species:S:1:pos:R:3 pbc="T T T"
Hf 7.439 1.126 0.000
Hf 1.126 1.852 0.000
Hf 3.520 2.794 1.685
Hf -2.794 3.520 1.685
Ni 3.594 0.887 0.000
Ni 3.759 -1.052 1.685
Ni 0.887 5.698 0.000
Ni 1.052 3.759 1.685
```


# HfNi

A relaxed HfNi crystal (PBE, the Alexandria database).

Output
raw total energy	-64.540	eV for the cell shown
SG	P4_2/mnm
density of states at the Fermi level	6.4	states/eV/cell
total magnetization	0.000	μB/atom
mass density	11.49	g/cm³

Geometry as extended XYZ:
```
8
Lattice="5.180 0.000 0.000 0.000 5.180 0.000 0.000 0.000 5.111" Properties=species:S:1:pos:R:3 pbc="T T T"
Hf 1.067 1.067 0.000
Hf 1.523 3.657 2.556
Hf 3.657 1.523 2.556
Hf 4.113 4.113 0.000
Ni 0.973 0.973 2.556
Ni 1.617 3.563 0.000
Ni 3.563 1.617 0.000
Ni 4.207 4.207 2.556
```


# HfNi2

A relaxed HfNi2 crystal (PBE, the Alexandria database).

Output
raw total energy	-45.931	eV for the cell shown
SG	Fd-3m
density of states at the Fermi level	3.3	states/eV/cell
total magnetization	0.000	μB/atom
mass density	11.85	g/cm³

Geometry as extended XYZ:
```
6
Lattice="0.000 3.461 3.461 3.461 0.000 3.461 3.461 3.461 0.000" Properties=species:S:1:pos:R:3 pbc="T T T"
Hf 0.865 0.865 0.865
Hf 6.057 6.057 6.057
Ni 3.461 1.731 1.731
Ni 1.731 3.461 1.731
Ni 1.731 1.731 3.461
Ni 3.461 3.461 3.461
```


# Hf3Ni2

A relaxed Hf3Ni2 crystal (PBE, the Alexandria database).

Output
raw total energy	-42.868	eV for the cell shown
SG	Immm
density of states at the Fermi level	5.2	states/eV/cell
total magnetization	0.000	μB/atom
mass density	12.25	g/cm³

Geometry as extended XYZ:
```
5
Lattice="-1.949 2.766 4.103 1.949 -2.766 4.103 1.949 2.766 -4.103" Properties=species:S:1:pos:R:3 pbc="T T T"
Hf 0.000 0.000 0.000
Hf 1.949 0.000 2.472
Hf 0.000 2.766 1.631
Ni 1.949 1.582 0.000
Ni 0.000 1.183 4.103
```


# Hf2Ni

A relaxed Hf2Ni crystal (PBE, the Alexandria database).

Output
raw total energy	-53.428	eV for the cell shown
SG	I4/mcm
density of states at the Fermi level	5.3	states/eV/cell
total magnetization	0.000	μB/atom
mass density	12.81	g/cm³

Geometry as extended XYZ:
```
6
Lattice="-3.206 3.206 2.620 3.206 -3.206 2.620 3.206 3.206 -2.620" Properties=species:S:1:pos:R:3 pbc="T T T"
Hf 4.258 1.052 0.000
Hf 1.052 2.154 0.000
Hf 2.154 1.052 2.620
Hf -1.052 2.154 2.620
Ni 0.000 0.000 1.310
Ni 0.000 0.000 3.930
```


# Hf5Ni

A relaxed Hf5Ni crystal (PBE, the Alexandria database).

Output
raw total energy	-55.260	eV for the cell shown
SG	Cmmm
density of states at the Fermi level	7.9	states/eV/cell
total magnetization	0.000	μB/atom
mass density	12.97	g/cm³

Geometry as extended XYZ:
```
6
Lattice="2.165 -6.399 0.000 2.165 6.399 0.000 0.000 0.000 4.397" Properties=species:S:1:pos:R:3 pbc="T T T"
Hf 0.000 0.000 0.000
Hf 2.165 4.335 2.199
Hf 2.165 2.114 0.000
Hf 2.165 -2.114 0.000
Hf 2.165 -4.335 2.199
Ni 2.165 0.000 2.199
```


# Hf7Ni10

A relaxed Hf7Ni10 crystal (PBE, the Alexandria database).

Output
raw total energy	-272.556	eV for the cell shown
SG	Cmce
density of states at the Fermi level	25.4	states/eV/cell
total magnetization	0.000	μB/atom
mass density	11.95	g/cm³

Geometry as extended XYZ:
```
34
Lattice="6.143 -4.544 0.000 6.143 4.544 0.000 0.000 0.000 9.137" Properties=species:S:1:pos:R:3 pbc="T T T"
Hf 0.000 0.000 0.000
Hf 3.072 2.234 2.284
Hf 6.143 2.857 6.268
Hf 2.375 0.000 4.568
Hf 3.768 0.000 0.000
Hf 6.143 1.687 1.699
Hf 3.072 -2.234 6.853
Hf 6.143 0.000 4.568
Hf 9.215 2.234 2.284
Hf 6.143 -1.687 7.437
Hf 8.519 0.000 0.000
Hf 9.911 0.000 4.568
Hf 6.143 -2.857 2.869
Hf 9.215 -2.234 6.853
Ni 4.360 2.648 9.075
Ni 6.143 3.571 3.615
Ni 1.770 0.080 7.230
Ni 4.360 1.896 4.507
Ni 1.770 -0.080 1.907
Ni 4.373 0.080 6.475
Ni 7.926 2.648 9.075
Ni 4.373 -0.080 2.662
Ni 6.143 0.973 8.184
Ni 7.926 1.896 4.507
Ni 4.360 -1.896 4.630
Ni 6.143 -0.973 0.953
Ni 7.914 0.080 6.475
Ni 4.360 -2.648 0.061
Ni 7.914 -0.080 2.662
Ni 10.516 0.080 7.230
Ni 7.926 -1.896 4.630
Ni 10.516 -0.080 1.907
Ni 6.143 -3.571 5.522
Ni 7.926 -2.648 0.061
```


# Hf3Ni

A relaxed Hf3Ni crystal (PBE, the Alexandria database).

Output
raw total energy	-35.509	eV for the cell shown
SG	Pm-3m
density of states at the Fermi level	6.3	states/eV/cell
total magnetization	0.000	μB/atom
mass density	12.91	g/cm³

Geometry as extended XYZ:
```
4
Lattice="4.243 0.000 0.000 0.000 4.243 0.000 0.000 0.000 4.243" Properties=species:S:1:pos:R:3 pbc="T T T"
Hf 0.000 0.000 2.122
Hf 0.000 2.122 0.000
Hf 2.122 0.000 0.000
Ni 2.122 2.122 2.122
```


# HfNi

A relaxed HfNi crystal (PBE, the Alexandria database).

Output
raw total energy	-65.395	eV for the cell shown
SG	I4/mmm
density of states at the Fermi level	10.4	states/eV/cell
total magnetization	0.000	μB/atom
mass density	11.77	g/cm³

Geometry as extended XYZ:
```
8
Lattice="-3.934 3.934 2.162 3.934 -3.934 2.162 3.934 3.934 -2.162" Properties=species:S:1:pos:R:3 pbc="T T T"
Hf 2.330 0.000 0.000
Hf 5.537 0.000 0.000
Hf 0.000 2.330 0.000
Hf 0.000 5.537 0.000
Ni 2.616 2.616 0.000
Ni 1.318 -1.318 2.162
Ni -1.318 1.318 2.162
Ni 1.318 1.318 2.162
```


# Hf3Ni

A relaxed Hf3Ni crystal (PBE, the Alexandria database).

Output
raw total energy	-35.415	eV for the cell shown
SG	Pmm2
density of states at the Fermi level	3.1	states/eV/cell
total magnetization	0.000	μB/atom
mass density	11.83	g/cm³

Geometry as extended XYZ:
```
4
Lattice="3.119 0.000 0.000 0.000 3.153 0.000 0.000 0.000 8.483" Properties=species:S:1:pos:R:3 pbc="T T T"
Hf 0.000 0.000 0.000
Hf 0.000 1.576 2.879
Hf 1.559 1.576 6.356
Ni 1.559 0.000 4.174
```


# HfNi2

A relaxed HfNi2 crystal (PBE, the Alexandria database).

Output
raw total energy	-45.748	eV for the cell shown
SG	Cmcm
density of states at the Fermi level	2.1	states/eV/cell
total magnetization	0.000	μB/atom
mass density	11.61	g/cm³

Geometry as extended XYZ:
```
6
Lattice="1.779 -6.095 0.000 1.779 6.095 0.000 0.000 0.000 3.902" Properties=species:S:1:pos:R:3 pbc="T T T"
Hf 1.779 4.866 2.926
Hf 1.779 -4.866 0.975
Ni 1.779 3.119 0.975
Ni 1.779 0.957 2.926
Ni 1.779 -0.957 0.975
Ni 1.779 -3.119 2.926
```


# HfNi

A relaxed HfNi crystal (PBE, the Alexandria database).

Output
raw total energy	-33.548	eV for the cell shown
SG	P2_1/m
density of states at the Fermi level	2.5	states/eV/cell
total magnetization	0.000	μB/atom
mass density	12.09	g/cm³

Geometry as extended XYZ:
```
4
Lattice="3.245 0.000 0.000 0.000 4.090 0.000 -1.631 0.000 4.909" Properties=species:S:1:pos:R:3 pbc="T T T"
Hf -0.002 1.023 1.374
Hf 1.616 3.068 3.534
Ni -0.008 1.023 4.086
Ni 1.622 3.068 0.823
```


# HfNi

A relaxed HfNi crystal (PBE, the Alexandria database).

Output
raw total energy	-14.569	eV for the cell shown
SG	F-43m
density of states at the Fermi level	0.3	states/eV/cell
total magnetization	0.000	μB/atom
mass density	8.74	g/cm³

Geometry as extended XYZ:
```
2
Lattice="0.000 2.824 2.824 2.824 0.000 2.824 2.824 2.824 0.000" Properties=species:S:1:pos:R:3 pbc="T T T"
Hf 0.000 0.000 0.000
Ni 1.412 1.412 1.412
```


# HfNi

A relaxed HfNi crystal (PBE, the Alexandria database).

Output
raw total energy	-94.456	eV for the cell shown
SG	P6_3/m
density of states at the Fermi level	12.9	states/eV/cell
total magnetization	0.018	μB/atom
mass density	10.92	g/cm³

Geometry as extended XYZ:
```
12
Lattice="7.619 0.000 0.000 -3.810 6.598 0.000 0.000 0.000 4.305" Properties=species:S:1:pos:R:3 pbc="T T T"
Hf -1.838 4.420 1.076
Hf 0.900 2.797 1.076
Hf 2.872 0.619 3.229
Hf 0.938 5.980 1.076
Hf 2.909 3.802 3.229
Hf 5.648 2.178 3.229
Ni -2.866 5.464 3.229
Ni 0.510 1.385 3.229
Ni 1.454 0.250 1.076
Ni 2.355 6.348 3.229
Ni 3.299 5.214 1.076
Ni 6.675 1.134 1.076
```


# Hf2Ni7

A relaxed Hf2Ni7 crystal (PBE, the Alexandria database).

Output
raw total energy	-64.538	eV for the cell shown
SG	C2/m
density of states at the Fermi level	9.2	states/eV/cell
total magnetization	0.000	μB/atom
mass density	11.07	g/cm³
energy above the lowest structure with this stoichiometry	0	meV per atom

Geometry as extended XYZ:
```
9
Lattice="2.333 -4.098 0.000 2.333 4.098 0.000 -1.733 0.000 6.023" Properties=species:S:1:pos:R:3 pbc="T T T"
Hf 0.027 0.000 1.634
Hf 2.906 0.000 4.388
Ni 1.167 2.049 0.000
Ni 0.599 1.348 3.946
Ni 2.334 1.348 2.077
Ni 1.167 -2.049 0.000
Ni 2.333 0.000 0.000
Ni 0.599 -1.348 3.946
Ni 2.334 -1.348 2.077
```


# Hf9Ni11

A relaxed Hf9Ni11 crystal (PBE, the Alexandria database).

Output
raw total energy	-162.318	eV for the cell shown
SG	I4/m
density of states at the Fermi level	10.8	states/eV/cell
total magnetization	0.000	μB/atom
mass density	11.94	g/cm³

Geometry as extended XYZ:
```
20
Lattice="-4.933 4.933 3.219 4.933 -4.933 3.219 4.933 4.933 -3.219" Properties=species:S:1:pos:R:3 pbc="T T T"
Hf 0.000 0.000 0.000
Hf 3.061 0.907 0.000
Hf 5.787 2.401 0.000
Hf 4.025 -1.871 3.219
Hf 2.401 4.078 0.000
Hf 2.532 0.855 3.219
Hf 0.907 6.804 0.000
Hf -0.855 2.532 3.219
Hf 1.871 4.025 3.219
Ni 6.080 -2.752 1.876
Ni 2.181 -1.147 1.344
Ni 4.933 0.000 1.610
Ni 7.684 1.147 1.344
Ni 1.147 2.181 1.344
Ni 0.000 0.000 3.219
Ni 3.785 2.752 1.876
Ni -2.752 3.785 1.876
Ni 0.000 4.933 1.610
Ni 2.752 6.080 1.876
Ni -1.147 7.684 1.344
```


| no. | energy of formation (eV/f.u.) |
| --- | --- |
| 1 | -1.569 |
| 2 | -0.629 |
| 3 | 1.640 |
| 4 | -0.103 |
| 5 | 0.092 |
| 6 | -0.400 |
| 7 | -1.450 |
| 8 | -1.445 |
| 9 | -1.026 |
| 10 | 0.289 |
| 11 | -8.791 |
| 12 | 0.133 |
| 13 | -0.614 |
| 14 | 0.226 |
| 15 | -1.358 |
| 16 | -1.039 |
| 17 | 1.166 |
| 18 | -0.008 |
| 19 | -4.162 |
| 20 | -9.142 |